DFT (PBE-GGA) results for an optimized crystal structure of Li2Al.

Fermi-level density of states   2.14 states/eV/cell
Energy   -2.612 eV per atom
Symmetry   I4_1/amd (141)
Mass density   1.3 g/cm³

```
Li2Al
1.0
-1.395 1.395 13.653
1.395 -1.395 13.653
1.395 1.395 -13.653
Li Al
4 2
Cartesian
1.395 0.697 1.354
1.395 0.697 5.473
0.000 0.697 8.180
0.000 0.697 12.299
1.395 -0.697 10.240
0.000 2.092 3.413
```